[1]
# Pm2Pr3Nd4 (PBE, relaxed)
data_Pm2Pr3Nd4
_chemical_formula_sum 'Pm2 Pr3 Nd4'
_cell_length_a 6.584
_cell_length_b 6.584
_cell_length_c 9.347
_cell_angle_alpha 100.90
_cell_angle_beta 100.90
_cell_angle_gamma 53.60
_space_group_name_H-M_alt 'P 1'
_space_group_IT_number 1
_space_group_name_Hall 'P 1'
loop_
_atom_site_label
_atom_site_type_symbol
_atom_site_fract_x
_atom_site_fract_y
_atom_site_fract_z
_atom_site_occupancy
Pm1 Pm 0.064 0.064 0.302 1
Pm2 Pm 0.936 0.936 0.698 1
Pr1 Pr 0.385 0.385 0.316 1
Pr2 Pr 0.500 0.500 0.000 1
Pr3 Pr 0.615 0.615 0.684 1
Nd1 Nd 0.179 0.179 0.959 1
Nd2 Nd 0.271 0.271 0.631 1
Nd3 Nd 0.729 0.729 0.369 1
Nd4 Nd 0.821 0.821 0.041 1
# crystal system = monoclinic
# electronic total energy = -42.1 eV per cell
# space-group type = C2/m
# size of the total moment = 0.00 μB/cell
# formation energy from the elements = 90 meV per atom
# excess energy over the best structure of this formula in the dataset = 0.027 eV per atom



[2]
# Pm4PrNd7 (PBE, relaxed)
data_Pm4PrNd7
_chemical_formula_sum 'Pm4 Pr1 Nd7'
_cell_length_a 6.416
_cell_length_b 7.392
_cell_length_c 9.166
_cell_angle_alpha 89.95
_cell_angle_beta 76.45
_cell_angle_gamma 89.98
_space_group_name_H-M_alt 'P 1'
_space_group_IT_number 1
_space_group_name_Hall 'P 1'
loop_
_atom_site_label
_atom_site_type_symbol
_atom_site_fract_x
_atom_site_fract_y
_atom_site_fract_z
_atom_site_occupancy
Pm1 Pm 0.220 0.000 0.333 1
Pm2 Pm 0.279 0.249 0.667 1
Pm3 Pm 0.721 0.751 0.333 1
Pm4 Pm 0.780 0.000 0.667 1
Pr1 Pr 0.000 0.500 0.000 1
Nd1 Nd 0.000 0.000 0.000 1
Nd2 Nd 0.221 0.500 0.333 1
Nd3 Nd 0.280 0.751 0.667 1
Nd4 Nd 0.500 0.249 0.000 1
Nd5 Nd 0.500 0.751 0.000 1
Nd6 Nd 0.720 0.249 0.333 1
Nd7 Nd 0.779 0.500 0.667 1
# crystal system = triclinic
# electronic total energy = -57.0 eV per cell
# space-group type = P-1
# size of the total moment = 0.00 μB/cell
# formation energy from the elements = 11 meV per atom
# excess energy over the best structure of this formula in the dataset = 0.000 eV per atom